VASP calculation (PBE) on a relaxed structure of Ho3Zr3Te2Pd.

Cell and atoms, written as CIF:
```
data_Ho3Zr3Te2Pd
_space_group_name_H-M_alt 'P 1'
_space_group_IT_number 1
_space_group_name_Hall 'P 1'
_cell_length_a 8.054
_cell_length_b 8.054
_cell_length_c 3.890
_cell_angle_alpha 90.00
_cell_angle_beta 90.00
_cell_angle_gamma 120.00
loop_
_atom_site_label
_atom_site_type_symbol
_atom_site_fract_x
_atom_site_fract_y
_atom_site_fract_z
Ho1 Ho 0.000 0.599 0.000
Ho2 Ho 0.401 0.401 0.000
Ho3 Ho 0.599 0.000 0.000
Zr1 Zr 0.000 0.243 0.500
Zr2 Zr 0.243 0.000 0.500
Zr3 Zr 0.757 0.757 0.500
Te1 Te 0.333 0.667 0.500
Te2 Te 0.667 0.333 0.500
Pd1 Pd 0.000 0.000 0.000
```

Summary:
Final energy (eV per atom): -6.350
Magnetization (Bohr magnetons per cell): 0.00
Density (g/cm3): 8.588
ΔE to the lowest computed polymorph (meV per atom): 0.0


VASP calculation (PBE) on a relaxed structure of Ho3Zr3Te2Pd.

Cell and atoms, written as CIF:
```
data_Ho3Zr3Te2Pd
_space_group_name_H-M_alt 'P 1'
_space_group_IT_number 1
_space_group_name_Hall 'P 1'
_cell_length_a 8.191
_cell_length_b 8.191
_cell_length_c 3.712
_cell_angle_alpha 90.00
_cell_angle_beta 90.00
_cell_angle_gamma 120.00
loop_
_atom_site_label
_atom_site_type_symbol
_atom_site_fract_x
_atom_site_fract_y
_atom_site_fract_z
Ho1 Ho 0.000 0.252 0.000
Ho2 Ho 0.252 0.000 0.000
Ho3 Ho 0.748 0.748 0.000
Zr1 Zr 0.000 0.589 0.500
Zr2 Zr 0.411 0.411 0.500
Zr3 Zr 0.589 0.000 0.500
Te1 Te 0.333 0.667 0.000
Te2 Te 0.667 0.333 0.000
Pd1 Pd 0.000 0.000 0.500
```

Summary:
Final energy (eV per atom): -6.256
Magnetization (Bohr magnetons per cell): 0.00
Density (g/cm3): 8.699
ΔE to the lowest computed polymorph (meV per atom): 93.9


VASP calculation (PBE) on a relaxed structure of HoThPd2.

Cell and atoms, written as CIF:
```
data_HoThPd2
_space_group_name_H-M_alt 'P 1'
_space_group_IT_number 1
_space_group_name_Hall 'P 1'
_cell_length_a 4.616
_cell_length_b 5.687
_cell_length_c 5.687
_cell_angle_alpha 38.65
_cell_angle_beta 90.00
_cell_angle_gamma 90.00
loop_
_atom_site_label
_atom_site_type_symbol
_atom_site_fract_x
_atom_site_fract_y
_atom_site_fract_z
Ho1 Ho 0.000 0.000 0.000
Th1 Th 0.500 0.275 0.275
Pd1 Pd 0.000 0.726 0.726
Pd2 Pd 0.500 0.549 0.549
```

Summary:
Final energy (eV per atom): -6.449
Magnetization (Bohr magnetons per cell): 0.01
Density (g/cm3): 10.859
Formation enthalpy at 0 K (meV/atom): -864


VASP calculation (PBE) on a relaxed structure of Ho6TlPd2.

Cell and atoms, written as CIF:
```
data_Ho6TlPd2
_space_group_name_H-M_alt 'P 1'
_space_group_IT_number 1
_space_group_name_Hall 'P 1'
_cell_length_a 8.537
_cell_length_b 8.537
_cell_length_c 8.537
_cell_angle_alpha 113.00
_cell_angle_beta 110.13
_cell_angle_gamma 105.38
loop_
_atom_site_label
_atom_site_type_symbol
_atom_site_fract_x
_atom_site_fract_y
_atom_site_fract_z
Ho1 Ho 0.036 0.237 0.799
Ho2 Ho 0.183 0.290 0.473
Ho3 Ho 0.183 0.710 0.893
Ho4 Ho 0.327 0.027 0.700
Ho5 Ho 0.327 0.628 0.300
Ho6 Ho 0.438 0.237 0.201
Ho7 Ho 0.562 0.763 0.799
Ho8 Ho 0.673 0.372 0.700
Ho9 Ho 0.673 0.973 0.300
Ho10 Ho 0.817 0.290 0.107
Ho11 Ho 0.817 0.710 0.527
Ho12 Ho 0.964 0.763 0.201
Tl1 Tl 0.000 0.000 0.000
Tl2 Tl 0.500 0.500 0.000
Pd1 Pd 0.133 0.633 0.500
Pd2 Pd 0.347 0.000 0.347
Pd3 Pd 0.653 0.000 0.653
Pd4 Pd 0.867 0.367 0.500
```

Summary:
Final energy (eV per atom): -4.988
Magnetization (Bohr magnetons per cell): 0.02
Density (g/cm3): 9.798


VASP calculation (PBE) on a relaxed structure of Ho2Tl8Pd.

Cell and atoms, written as CIF:
```
data_Ho2Tl8Pd
_space_group_name_H-M_alt 'P 1'
_space_group_IT_number 1
_space_group_name_Hall 'P 1'
_cell_length_a 4.826
_cell_length_b 4.826
_cell_length_c 12.436
_cell_angle_alpha 90.00
_cell_angle_beta 90.00
_cell_angle_gamma 90.00
loop_
_atom_site_label
_atom_site_type_symbol
_atom_site_fract_x
_atom_site_fract_y
_atom_site_fract_z
Ho1 Ho 0.000 0.000 0.190
Ho2 Ho 0.000 0.000 0.810
Tl1 Tl 0.000 0.500 0.000
Tl2 Tl 0.000 0.500 0.371
Tl3 Tl 0.000 0.500 0.629
Tl4 Tl 0.500 0.000 0.000
Tl5 Tl 0.500 0.000 0.371
Tl6 Tl 0.500 0.000 0.629
Tl7 Tl 0.500 0.500 0.185
Tl8 Tl 0.500 0.500 0.815
Pd1 Pd 0.000 0.000 0.500
```

Summary:
Final energy (eV per atom): -3.200
Magnetization (Bohr magnetons per cell): 0.00
Density (g/cm3): 11.877


VASP calculation (PBE) on a relaxed structure of YHoTl4Pd2.

Cell and atoms, written as CIF:
```
data_YHoTl4Pd2
_space_group_name_H-M_alt 'P 1'
_space_group_IT_number 1
_space_group_name_Hall 'P 1'
_cell_length_a 7.587
_cell_length_b 5.846
_cell_length_c 5.846
_cell_angle_alpha 45.80
_cell_angle_beta 90.00
_cell_angle_gamma 90.00
loop_
_atom_site_label
_atom_site_type_symbol
_atom_site_fract_x
_atom_site_fract_y
_atom_site_fract_z
Y1 Y 0.000 0.000 0.000
Ho1 Ho 0.500 0.156 0.156
Tl1 Tl 0.207 0.714 0.714
Tl2 Tl 0.294 0.442 0.442
Tl3 Tl 0.706 0.442 0.442
Tl4 Tl 0.793 0.714 0.714
Pd1 Pd 0.000 0.280 0.280
Pd2 Pd 0.500 0.876 0.876
```

Summary:
Final energy (eV per atom): -4.235
Magnetization (Bohr magnetons per cell): 0.02
Density (g/cm3): 11.469


VASP calculation (PBE) on a relaxed structure of YHoTlPd2.

Cell and atoms, written as CIF:
```
data_YHoTlPd2
_space_group_name_H-M_alt 'P 1'
_space_group_IT_number 1
_space_group_name_Hall 'P 1'
_cell_length_a 3.658
_cell_length_b 7.810
_cell_length_c 7.810
_cell_angle_alpha 30.64
_cell_angle_beta 90.00
_cell_angle_gamma 90.00
loop_
_atom_site_label
_atom_site_type_symbol
_atom_site_fract_x
_atom_site_fract_y
_atom_site_fract_z
Y1 Y 0.000 0.000 0.000
Ho1 Ho 0.000 0.732 0.732
Tl1 Tl 0.500 0.367 0.367
Pd1 Pd 0.500 0.177 0.177
Pd2 Pd 0.500 0.558 0.558
```

Summary:
Final energy (eV per atom): -5.522
Magnetization (Bohr magnetons per cell): 0.01
Density (g/cm3): 9.799


VASP calculation (PBE) on a relaxed structure of HoTmPd2.

Cell and atoms, written as CIF:
```
data_HoTmPd2
_space_group_name_H-M_alt 'P 1'
_space_group_IT_number 1
_space_group_name_Hall 'P 1'
_cell_length_a 5.536
_cell_length_b 4.554
_cell_length_c 6.858
_cell_angle_alpha 90.00
_cell_angle_beta 90.47
_cell_angle_gamma 90.00
loop_
_atom_site_label
_atom_site_type_symbol
_atom_site_fract_x
_atom_site_fract_y
_atom_site_fract_z
Ho1 Ho 0.145 0.250 0.183
Ho2 Ho 0.855 0.750 0.817
Tm1 Tm 0.357 0.250 0.682
Tm2 Tm 0.643 0.750 0.318
Pd1 Pd 0.157 0.750 0.461
Pd2 Pd 0.345 0.750 0.956
Pd3 Pd 0.655 0.250 0.044
Pd4 Pd 0.843 0.250 0.539
```

Summary:
Final energy (eV per atom): -5.806
Magnetization (Bohr magnetons per cell): 0.01
Density (g/cm3): 10.503
ΔE to the lowest computed polymorph (meV per atom): 0.0
Formation enthalpy at 0 K (meV/atom): -955


VASP calculation (PBE) on a relaxed structure of Ho3TmPd4.

Cell and atoms, written as CIF:
```
data_Ho3TmPd4
_space_group_name_H-M_alt 'P 1'
_space_group_IT_number 1
_space_group_name_Hall 'P 1'
_cell_length_a 5.637
_cell_length_b 4.492
_cell_length_c 6.805
_cell_angle_alpha 90.00
_cell_angle_beta 90.22
_cell_angle_gamma 90.00
loop_
_atom_site_label
_atom_site_type_symbol
_atom_site_fract_x
_atom_site_fract_y
_atom_site_fract_z
Ho1 Ho 0.000 0.000 0.000
Ho2 Ho 0.214 0.000 0.500
Ho3 Ho 0.501 0.500 0.864
Tm1 Tm 0.714 0.500 0.364
Pd1 Pd 0.012 0.500 0.722
Pd2 Pd 0.201 0.500 0.224
Pd3 Pd 0.515 0.000 0.144
Pd4 Pd 0.701 0.000 0.636
```

Summary:
Final energy (eV per atom): -5.808
Magnetization (Bohr magnetons per cell): 0.03
Density (g/cm3): 10.499
Formation enthalpy at 0 K (meV/atom): -945


VASP calculation (PBE) on a relaxed structure of HoTmPd2.

Cell and atoms, written as CIF:
```
data_HoTmPd2
_space_group_name_H-M_alt 'P 1'
_space_group_IT_number 1
_space_group_name_Hall 'P 1'
_cell_length_a 4.453
_cell_length_b 5.629
_cell_length_c 6.842
_cell_angle_alpha 90.00
_cell_angle_beta 90.00
_cell_angle_gamma 90.00
loop_
_atom_site_label
_atom_site_type_symbol
_atom_site_fract_x
_atom_site_fract_y
_atom_site_fract_z
Ho1 Ho 0.000 0.109 0.000
Ho2 Ho 0.000 0.891 0.500
Tm1 Tm 0.500 0.392 0.363
Tm2 Tm 0.500 0.608 0.863
Pd1 Pd 0.000 0.407 0.640
Pd2 Pd 0.000 0.593 0.140
Pd3 Pd 0.500 0.096 0.723
Pd4 Pd 0.500 0.904 0.223
```

Summary:
Final energy (eV per atom): -5.800
Magnetization (Bohr magnetons per cell): 0.01
Density (g/cm3): 10.586
ΔE to the lowest computed polymorph (meV per atom): 5.8
Formation enthalpy at 0 K (meV/atom): -950


VASP calculation (PBE) on a relaxed structure of HoTmPd2.

Cell and atoms, written as CIF:
```
data_HoTmPd2
_space_group_name_H-M_alt 'P 1'
_space_group_IT_number 1
_space_group_name_Hall 'P 1'
_cell_length_a 4.468
_cell_length_b 6.833
_cell_length_c 5.619
_cell_angle_alpha 90.00
_cell_angle_beta 90.00
_cell_angle_gamma 90.00
loop_
_atom_site_label
_atom_site_type_symbol
_atom_site_fract_x
_atom_site_fract_y
_atom_site_fract_z
Ho1 Ho 0.000 0.068 0.000
Ho2 Ho 0.500 0.932 0.500
Tm1 Tm 0.000 0.568 0.216
Tm2 Tm 0.500 0.432 0.716
Pd1 Pd 0.000 0.213 0.513
Pd2 Pd 0.000 0.704 0.703
Pd3 Pd 0.500 0.296 0.203
Pd4 Pd 0.500 0.787 0.013
```

Summary:
Final energy (eV per atom): -5.801
Magnetization (Bohr magnetons per cell): 0.01
Density (g/cm3): 10.584
ΔE to the lowest computed polymorph (meV per atom): 4.5
Formation enthalpy at 0 K (meV/atom): -951


VASP calculation (PBE) on a relaxed structure of HoUPd.

Cell and atoms, written as CIF:
```
data_HoUPd
_space_group_name_H-M_alt 'P 1'
_space_group_IT_number 1
_space_group_name_Hall 'P 1'
_cell_length_a 4.831
_cell_length_b 4.831
_cell_length_c 4.831
_cell_angle_alpha 60.00
_cell_angle_beta 60.00
_cell_angle_gamma 60.00
loop_
_atom_site_label
_atom_site_type_symbol
_atom_site_fract_x
_atom_site_fract_y
_atom_site_fract_z
Ho1 Ho 0.000 0.000 0.000
U1 U 0.500 0.500 0.500
Pd1 Pd 0.250 0.250 0.250
```

Summary:
Final energy (eV per atom): -6.853
Magnetization (Bohr magnetons per cell): 3.64
Density (g/cm3): 10.610
ΔE to the lowest computed polymorph (meV per atom): 0.0
Formation enthalpy at 0 K (meV/atom): 163


Q: Which of these has the lowest density?
A: number 1


Q: What is the final energy in the fourth record?
A: -4.988 eV per atom